Entry 1:
# Ir7Ru2Rh3

An optimized crystal structure of Ir7Ru2Rh3 (PBE-GGA, Alexandria via LeMat-Bulk).

Unit cell a=3.813 b=3.675 c=13.905 alpha=90.00 beta=97.71 gamma=90.00
Sites, in units of the cell vectors:
Ir1 0.000 0.000 0.000
Ir2 0.070 0.500 0.144
Ir3 0.277 0.500 0.556
Ir4 0.430 0.000 0.856
Ir5 0.570 0.000 0.144
Ir6 0.723 0.500 0.444
Ir7 0.930 0.500 0.856
Ru1 0.366 0.500 0.727
Ru2 0.634 0.500 0.273
Rh1 0.197 0.000 0.388
Rh2 0.500 0.500 0.000
Rh3 0.803 0.000 0.612

Calculated values
Energy relative to the elements ... 45.62 kJ per mole of atoms
E ... -96.960 eV/cell
Density of states at the Fermi level ... 1.32 states/eV/atom

=====

Entry 2:
# IrRu2Rh4

An optimized crystal structure of IrRu2Rh4 (PBE-GGA, Alexandria via LeMat-Bulk).

Unit cell a=6.959 b=6.959 c=6.959 alpha=136.53 beta=100.63 gamma=95.15
Sites, in units of the cell vectors:
Ir1 0.000 0.000 0.000
Ir2 0.500 0.000 0.500
Ru1 0.000 0.000 0.500
Ru2 0.000 0.500 0.000
Ru3 0.486 0.236 0.250
Ru4 0.514 0.764 0.750
Rh1 0.142 0.649 0.492
Rh2 0.261 0.268 0.507
Rh3 0.261 0.754 0.993
Rh4 0.343 0.351 0.992
Rh5 0.657 0.649 0.008
Rh6 0.739 0.246 0.007
Rh7 0.739 0.732 0.493
Rh8 0.858 0.351 0.508

Calculated values
Distance to the lowest polymorph of the same formula ... 571.0 meV/atom
Energy relative to the elements ... 55.14 kJ per mole of atoms
E ... -105.637 eV/cell
Density of states at the Fermi level ... 1.67 states/eV/atom

=====

Entry 3:
# Ir2Ru2Rh3

An optimized crystal structure of Ir2Ru2Rh3 (PBE-GGA, Alexandria via LeMat-Bulk).

Unit cell a=3.930 b=19.003 c=2.712 alpha=90.00 beta=90.00 gamma=90.00
Sites, in units of the cell vectors:
Ir1 0.000 0.207 0.000
Ir2 0.000 0.793 0.000
Ir3 0.500 0.293 0.000
Ir4 0.500 0.707 0.000
Ru1 0.000 0.356 0.500
Ru2 0.000 0.644 0.500
Ru3 0.500 0.144 0.500
Ru4 0.500 0.856 0.500
Rh1 0.000 0.070 0.000
Rh2 0.000 0.500 0.500
Rh3 0.000 0.930 0.000
Rh4 0.500 0.000 0.500
Rh5 0.500 0.430 0.000
Rh6 0.500 0.570 0.000

Calculated values
Distance to the lowest polymorph of the same formula ... 134.9 meV/atom
Energy relative to the elements ... 11.81 kJ per mole of atoms
E ... -114.943 eV/cell
Density of states at the Fermi level ... 1.29 states/eV/atom

=====

Entry 4:
# IrRu5Rh8

An optimized crystal structure of IrRu5Rh8 (PBE-GGA, Alexandria via LeMat-Bulk).

Unit cell a=6.501 b=6.501 c=6.501 alpha=109.46 beta=109.46 gamma=109.49
Sites, in units of the cell vectors:
Ir1 0.000 0.000 0.000
Ru1 0.230 0.641 0.206
Ru2 0.359 0.564 0.589
Ru3 0.436 0.025 0.794
Ru4 0.750 0.250 0.500
Ru5 0.975 0.770 0.411
Rh1 0.111 0.678 0.803
Rh2 0.173 0.268 0.774
Rh3 0.322 0.125 0.433
Rh4 0.494 0.399 0.226
Rh5 0.601 0.827 0.095
Rh6 0.692 0.889 0.567
Rh7 0.732 0.506 0.905
Rh8 0.875 0.308 0.197

Calculated values
Energy relative to the elements ... 39.77 kJ per mole of atoms
E ... -108.280 eV/cell
Density of states at the Fermi level ... 1.44 states/eV/atom